Entry 1:
The following is a PBE-GGA calculation of ZrHg2Br after structural relaxation, from the Alexandria database.

Cell lengths 7.8981, 7.8981, 7.8981 Å; angles 156.30, 142.56, 44.79 degrees
Fractional coordinates of all 4 atoms:
Zr 0.0000 0.0000 0.0000
Hg 0.4562 0.4562 0.0000
Hg 0.8239 0.3239 0.5000
Br 0.1481 0.6481 0.5000

## Properties
formation energy without anion corrections	-304	meV/atom
relative energy among the computed polymorphs	82	meV/atom


Entry 2:
The following is a PBE-GGA calculation of YHoEr3Sc after structural relaxation, from the Alexandria database.

Cell lengths 8.5258, 3.4569, 12.4000 Å; angles 90.00, 97.14, 90.00 degrees
Fractional coordinates of all 12 atoms:
Y 0.2022 0.2500 0.2302
Y 0.7978 0.7500 0.7698
Ho 0.4754 0.2500 0.6104
Ho 0.5246 0.7500 0.3896
Er 0.1301 0.2500 0.7187
Er 0.1612 0.7500 0.9661
Er 0.4801 0.2500 0.8833
Er 0.5199 0.7500 0.1167
Er 0.8388 0.2500 0.0339
Er 0.8699 0.7500 0.2813
Sc 0.1604 0.7500 0.4768
Sc 0.8396 0.2500 0.5232

## Properties
formation energy	2.06	kcal/mol of atoms


Entry 3:
The following is a PBE-GGA calculation of DySc3Bi2 after structural relaxation, from the Alexandria database.

Cell lengths 9.1582, 9.1582, 9.0773 Å; angles 112.22, 112.22, 27.21 degrees
Fractional coordinates of all 12 atoms:
Dy 0.1111 0.1111 0.1185
Dy 0.8889 0.8889 0.8815
Sc 0.0656 0.0656 0.6746
Sc 0.3087 0.3087 0.1037
Sc 0.3593 0.3593 0.5110
Sc 0.6407 0.6407 0.4890
Sc 0.6913 0.6913 0.8963
Sc 0.9344 0.9344 0.3254
Bi 0.2487 0.2487 0.7140
Bi 0.4897 0.4897 0.1724
Bi 0.5103 0.5103 0.8276
Bi 0.7513 0.7513 0.2860

## Properties
formation energy	-10.14	kcal/mol of atoms


Entry 4:
The following is a PBE-GGA calculation of FeNi3As after structural relaxation, from the Alexandria database.

Cell lengths 4.2954, 4.2954, 4.2954 Å; angles 90.00, 90.00, 90.00 degrees
Fractional coordinates of all 5 atoms:
Fe 0.0000 0.0000 0.0000
Ni 0.0000 0.0000 0.5000
Ni 0.0000 0.5000 0.0000
Ni 0.5000 0.0000 0.0000
As 0.5000 0.5000 0.5000

## Properties
relative energy among the computed polymorphs	315	meV/atom
formation energy	22.14	kcal/mol of atoms


Entry 5:
The following is a PBE-GGA calculation of Cs6Tl3As after structural relaxation, from the Alexandria database.

Cell lengths 11.1491, 7.8251, 15.7897 Å; angles 90.00, 132.17, 90.00 degrees
Fractional coordinates of all 20 atoms:
Cs 0.0941 0.2463 0.3558
Cs 0.0941 0.2537 0.8558
Cs 0.2142 0.1082 0.6579
Cs 0.2142 0.3918 0.1579
Cs 0.3810 0.5798 0.8126
Cs 0.3810 0.9202 0.3126
Cs 0.6190 0.0798 0.6874
Cs 0.6190 0.4202 0.1874
Cs 0.7858 0.6082 0.8421
Cs 0.7858 0.8918 0.3421
Cs 0.9059 0.7463 0.1442
Cs 0.9059 0.7537 0.6442
Tl 0.2520 0.6928 0.5084
Tl 0.2520 0.8072 0.0084
Tl 0.5000 0.0000 0.0000
Tl 0.5000 0.5000 0.5000
Tl 0.7480 0.1928 0.9916
Tl 0.7480 0.3072 0.4916
As 0.0000 0.0000 0.0000
As 0.0000 0.5000 0.5000

## Properties
formation energy	-1.92	kcal/mol of atoms


Entry 6:
The following is a PBE-GGA calculation of LaY5Er2Sc after structural relaxation, from the Alexandria database.

Cell lengths 10.3891, 10.3891, 10.5417 Å; angles 90.00, 90.00, 149.27 degrees
Fractional coordinates of all 18 atoms:
La 0.1178 0.8822 0.5000
La 0.8822 0.1178 0.0000
Y 0.0146 0.9854 0.8044
Y 0.1153 0.8847 0.0860
Y 0.2030 0.7970 0.8046
Y 0.2790 0.7210 0.5114
Y 0.4835 0.5165 0.0795
Y 0.5165 0.4835 0.5795
Y 0.7210 0.2790 0.0114
Y 0.7970 0.2030 0.3046
Y 0.8847 0.1153 0.5860
Y 0.9854 0.0146 0.3044
Er 0.3869 0.6131 0.7994
Er 0.4073 0.5927 0.3584
Er 0.5927 0.4073 0.8584
Er 0.6131 0.3869 0.2994
Sc 0.3022 0.6978 0.1095
Sc 0.6978 0.3022 0.6095

## Properties
formation energy	3.70	kcal/mol of atoms


Entry 7:
The following is a PBE-GGA calculation of RbYSb3 after structural relaxation, from the Alexandria database.

Cell lengths 5.7614, 5.7614, 5.7614 Å; angles 90.00, 90.00, 90.00 degrees
Fractional coordinates of all 5 atoms:
Rb 0.0000 0.0000 0.0000
Y 0.5000 0.5000 0.5000
Sb 0.0000 0.0000 0.5000
Sb 0.0000 0.5000 0.0000
Sb 0.5000 0.0000 0.0000

## Properties
formation energy without anion corrections	1018	meV/atom
relative energy among the computed polymorphs	1189	meV/atom


Entry 8:
The following is a PBE-GGA calculation of TiNb after structural relaxation, from the Alexandria database.

Cell lengths 7.2757, 7.2757, 7.2757 Å; angles 90.00, 90.00, 90.00 degrees
Fractional coordinates of all 12 atoms:
Ti 0.0000 0.2500 0.5000
Ti 0.0000 0.7500 0.5000
Ti 0.2500 0.5000 0.0000
Ti 0.5000 0.0000 0.2500
Ti 0.5000 0.0000 0.7500
Ti 0.7500 0.5000 0.0000
Nb 0.0000 0.5000 0.2500
Nb 0.0000 0.5000 0.7500
Nb 0.2500 0.0000 0.5000
Nb 0.5000 0.2500 0.0000
Nb 0.5000 0.7500 0.0000
Nb 0.7500 0.0000 0.5000

## Properties
formation energy	58.88	kcal/mol of atoms